Material: KReTc
Method: DFT, GGA-PBE
State: optimized geometry

Properties
- DFT total energy: -0.515 Ry per atom
- SG: Fmm2 (42)
- Total moment: 0.00 μB/f.u.
- ΔH_f (0 K): 0.965 eV per atom
- Distance to the lowest polymorph of the same formula: 0.107 eV per atom

Unit cell a=8.5134 b=8.3192 c=2.7568 alpha=84.58 beta=76.61 gamma=18.81
With the nearest neighbours (Å) after each atom.
Element x y z (fractional)
1 K 0.0000 0.0000 0.0000  6 K 2.76-2.94
2 Re 0.3147 0.3147 0.6853  2 Tc 2.59, 4 Re 2.76
3 Tc 0.6846 0.6846 0.3154  2 Re 2.59, 4 Tc 2.76